(1)
Density functional theory data (SCAN) for a PBEsol-optimized structure of YSi2Ni.

Values from the calculation:
* formation energy from raw total energies: -0.89 eV per atom

a b c (Å): 8.3474 8.3474 3.9406
angles (deg): 90.00 90.00 152.54
Element x y z (fractional)
Y (0.1056, 0.8944, 0.7500)
Y (0.8944, 0.1056, 0.2500)
Si (0.2498, 0.7502, 0.2500)
Si (0.4595, 0.5405, 0.7500)
Si (0.5405, 0.4595, 0.2500)
Si (0.7502, 0.2498, 0.7500)
Ni (0.3217, 0.6783, 0.7500)
Ni (0.6783, 0.3217, 0.2500)



(2)
Density functional theory data (SCAN) for a PBEsol-optimized structure of Y6Si7Ni16.

Values from the calculation:
* formation energy from raw total energies: -0.68 eV per atom

a b c (Å): 8.2147 8.2147 8.2147
angles (deg): 60.00 60.00 60.00
Element x y z (fractional)
Y (0.2101, 0.2101, 0.7899)
Y (0.2101, 0.7899, 0.2101)
Y (0.2101, 0.7899, 0.7899)
Y (0.7899, 0.2101, 0.2101)
Y (0.7899, 0.2101, 0.7899)
Y (0.7899, 0.7899, 0.2101)
Si (0.0000, 0.0000, 0.5000)
Si (0.0000, 0.5000, 0.0000)
Si (0.0000, 0.5000, 0.5000)
Si (0.5000, 0.0000, 0.0000)
Si (0.5000, 0.0000, 0.5000)
Si (0.5000, 0.5000, 0.0000)
Si (0.5000, 0.5000, 0.5000)
Ni (0.1375, 0.6208, 0.6208)
Ni (0.1721, 0.1721, 0.1721)
Ni (0.1721, 0.1721, 0.4838)
Ni (0.1721, 0.4838, 0.1721)
Ni (0.3792, 0.3792, 0.3792)
Ni (0.3792, 0.3792, 0.8625)
Ni (0.3792, 0.8625, 0.3792)
Ni (0.4838, 0.1721, 0.1721)
Ni (0.5162, 0.8279, 0.8279)
Ni (0.6208, 0.1375, 0.6208)
Ni (0.6208, 0.6208, 0.1375)
Ni (0.6208, 0.6208, 0.6208)
Ni (0.8279, 0.5162, 0.8279)
Ni (0.8279, 0.8279, 0.5162)
Ni (0.8279, 0.8279, 0.8279)
Ni (0.8625, 0.3792, 0.3792)



(3)
Density functional theory data (SCAN) for a PBEsol-optimized structure of YSiNi2.

Values from the calculation:
* formation energy from raw total energies: -0.23 eV per atom

a b c (Å): 4.1429 4.1429 3.4134
angles (deg): 90.08 90.08 90.01
Element x y z (fractional)
Y (0.0000, 0.0000, 0.0000)
Si (0.5000, 0.5000, 0.0000)
Ni (0.0000, 0.5000, 0.5000)
Ni (0.5000, 0.0000, 0.5000)



(4)
Density functional theory data (SCAN) for a PBEsol-optimized structure of YSi2Ni.

Values from the calculation:
* formation energy from raw total energies: -0.81 eV per atom

a b c (Å): 5.4808 5.4808 5.4808
angles (deg): 41.12 41.12 41.12
Element x y z (fractional)
Y (0.0000, 0.0000, 0.0000)
Si (0.2107, 0.2107, 0.2107)
Si (0.7893, 0.7893, 0.7893)
Ni (0.5000, 0.5000, 0.5000)



(5)
Density functional theory data (SCAN) for a PBEsol-optimized structure of YSi2Ni2.

Values from the calculation:
* formation energy from raw total energies: -0.89 eV per atom

a b c (Å): 5.4736 5.4736 5.4736
angles (deg): 137.99 137.99 60.92
Element x y z (fractional)
Y (0.0000, 0.0000, 0.0000)
Si (0.3727, 0.3727, 0.0000)
Si (0.6273, 0.6273, 0.0000)
Ni (0.2500, 0.7500, 0.5000)
Ni (0.7500, 0.2500, 0.5000)



(6)
Density functional theory data (SCAN) for a PBEsol-optimized structure of Y3Si3Ni.

Values from the calculation:
* formation energy from raw total energies: -0.85 eV per atom

a b c (Å): 9.0984 9.0984 9.0984
angles (deg): 155.22 153.98 36.24
Element x y z (fractional)
Y (0.0000, 0.0000, 0.0000)
Y (0.1860, 0.6860, 0.5000)
Y (0.3662, 0.3662, 0.0000)
Si (0.5400, 0.5400, 0.0000)
Si (0.6254, 0.1254, 0.5000)
Si (0.8226, 0.8226, 0.0000)
Ni (0.7523, 0.2523, 0.5000)



(7)
Density functional theory data (SCAN) for a PBEsol-optimized structure of YSi3Ni.

Values from the calculation:
* formation energy from raw total energies: -0.72 eV per atom

a b c (Å): 10.6224 10.6224 3.9140
angles (deg): 90.00 90.00 158.85
Element x y z (fractional)
Y (0.1690, 0.8310, 0.0000)
Y (0.8310, 0.1690, 0.0000)
Si (0.0563, 0.9437, 0.5000)
Si (0.2824, 0.7176, 0.5000)
Si (0.4437, 0.5563, 0.0000)
Si (0.5563, 0.4437, 0.0000)
Si (0.7176, 0.2824, 0.5000)
Si (0.9437, 0.0563, 0.5000)
Ni (0.3896, 0.6104, 0.5000)
Ni (0.6104, 0.3896, 0.5000)



(8)
Density functional theory data (SCAN) for a PBEsol-optimized structure of YSiNi2.

Values from the calculation:
* formation energy from raw total energies: -0.72 eV per atom

a b c (Å): 5.1582 5.1582 5.1582
angles (deg): 44.86 44.86 44.86
Element x y z (fractional)
Y (0.0000, 0.0000, 0.0000)
Si (0.5000, 0.5000, 0.5000)
Ni (0.2001, 0.2001, 0.2001)
Ni (0.7999, 0.7999, 0.7999)



(9)
Density functional theory data (SCAN) for a PBEsol-optimized structure of YSi3Ni5.

Values from the calculation:
* formation energy from raw total energies: -0.74 eV per atom

a b c (Å): 18.4899 3.7412 6.5690
angles (deg): 90.00 90.00 90.00
Element x y z (fractional)
Y (0.1437, 0.2500, 0.1230)
Y (0.3563, 0.7500, 0.6230)
Y (0.6437, 0.2500, 0.3770)
Y (0.8563, 0.7500, 0.8770)
Si (0.0743, 0.7500, 0.8452)
Si (0.0862, 0.7500, 0.4186)
Si (0.2374, 0.2500, 0.6209)
Si (0.2626, 0.7500, 0.1209)
Si (0.4138, 0.2500, 0.9186)
Si (0.4257, 0.2500, 0.3452)
Si (0.5743, 0.7500, 0.6548)
Si (0.5862, 0.7500, 0.0814)
Si (0.7374, 0.2500, 0.8791)
Si (0.7626, 0.7500, 0.3791)
Si (0.9138, 0.2500, 0.5814)
Si (0.9257, 0.2500, 0.1548)
Ni (0.0053, 0.7500, 0.1343)
Ni (0.0151, 0.2500, 0.3848)
Ni (0.1148, 0.2500, 0.6443)
Ni (0.1995, 0.7500, 0.8139)
Ni (0.2070, 0.7500, 0.4301)
Ni (0.2930, 0.2500, 0.9301)
Ni (0.3005, 0.2500, 0.3139)
Ni (0.3852, 0.7500, 0.1443)
Ni (0.4849, 0.7500, 0.8848)
Ni (0.4947, 0.2500, 0.6343)
Ni (0.5053, 0.7500, 0.3657)
Ni (0.5151, 0.2500, 0.1152)
Ni (0.6148, 0.2500, 0.8557)
Ni (0.6995, 0.7500, 0.6861)
Ni (0.7070, 0.7500, 0.0699)
Ni (0.7930, 0.2500, 0.5699)
Ni (0.8005, 0.2500, 0.1861)
Ni (0.8852, 0.7500, 0.3557)
Ni (0.9849, 0.7500, 0.6152)
Ni (0.9947, 0.2500, 0.8657)



(10)
Density functional theory data (SCAN) for a PBEsol-optimized structure of Y3Si2Ni6.

Values from the calculation:
* formation energy from raw total energies: -0.66 eV per atom

a b c (Å): 7.4993 7.4993 7.4993
angles (deg): 109.47 109.47 109.47
Element x y z (fractional)
Y (0.0000, 0.2857, 0.2857)
Y (0.0000, 0.7143, 0.7143)
Y (0.2857, 0.0000, 0.2857)
Y (0.2857, 0.2857, 0.0000)
Y (0.7143, 0.0000, 0.7143)
Y (0.7143, 0.7143, 0.0000)
Si (0.0000, 0.0000, 0.5000)
Si (0.0000, 0.5000, 0.0000)
Si (0.5000, 0.0000, 0.0000)
Si (0.5000, 0.5000, 0.5000)
Ni (0.0000, 0.3307, 0.6693)
Ni (0.0000, 0.6693, 0.3307)
Ni (0.3307, 0.0000, 0.6693)
Ni (0.3307, 0.3307, 0.6615)
Ni (0.3307, 0.6615, 0.3307)
Ni (0.3307, 0.6693, 0.0000)
Ni (0.3385, 0.6693, 0.6693)
Ni (0.6615, 0.3307, 0.3307)
Ni (0.6693, 0.0000, 0.3307)
Ni (0.6693, 0.3307, 0.0000)
Ni (0.6693, 0.3385, 0.6693)
Ni (0.6693, 0.6693, 0.3385)



(11)
Density functional theory data (SCAN) for a PBEsol-optimized structure of Y2Si5Ni3.

Values from the calculation:
* formation energy from raw total energies: -0.83 eV per atom

a b c (Å): 7.7868 7.7868 7.7868
angles (deg): 104.97 90.04 137.80
Element x y z (fractional)
Y (0.1317, 0.2363, 0.3680)
Y (0.3683, 0.7363, 0.1046)
Y (0.6317, 0.2637, 0.8954)
Y (0.8683, 0.7637, 0.6320)
Si (0.0160, 0.7500, 0.2660)
Si (0.1065, 0.6527, 0.7593)
Si (0.2500, 0.2500, 0.0000)
Si (0.3935, 0.1527, 0.5462)
Si (0.4840, 0.7500, 0.7340)
Si (0.5160, 0.2500, 0.2660)
Si (0.6065, 0.8473, 0.4538)
Si (0.7500, 0.7500, 0.0000)
Si (0.8935, 0.3473, 0.2407)
Si (0.9840, 0.2500, 0.7340)
Ni (0.1341, 0.8876, 0.0216)
Ni (0.2500, 0.7500, 0.5000)
Ni (0.3659, 0.3876, 0.7535)
Ni (0.6341, 0.6124, 0.2465)
Ni (0.7500, 0.2500, 0.5000)
Ni (0.8659, 0.1124, 0.9784)



(12)
Density functional theory data (SCAN) for a PBEsol-optimized structure of YSi2Ni.

Values from the calculation:
* formation energy from raw total energies: -0.40 eV per atom

a b c (Å): 8.1683 8.1683 8.1683
angles (deg): 148.14 148.14 45.68
Element x y z (fractional)
Y (0.0000, 0.0000, 0.0000)
Y (0.7500, 0.2500, 0.5000)
Si (0.3060, 0.6250, 0.1810)
Si (0.3750, 0.5560, 0.6810)
Si (0.4440, 0.1250, 0.8190)
Si (0.8750, 0.6940, 0.3190)
Ni (0.2500, 0.7500, 0.5000)
Ni (0.5000, 0.5000, 0.0000)



(13)
Density functional theory data (SCAN) for a PBEsol-optimized structure of YSi3Ni.

Values from the calculation:
* formation energy from raw total energies: 0.06 eV per atom

a b c (Å): 4.4428 4.4428 4.4428
angles (deg): 90.00 90.00 90.00
Element x y z (fractional)
Y (0.0000, 0.0000, 0.0000)
Si (0.0000, 0.5000, 0.5000)
Si (0.5000, 0.0000, 0.5000)
Si (0.5000, 0.5000, 0.0000)
Ni (0.5000, 0.5000, 0.5000)



(14)
Density functional theory data (SCAN) for a PBEsol-optimized structure of ZnSi2Ni3.

Values from the calculation:
* formation energy from raw total energies: -0.46 eV per atom

a b c (Å): 4.4734 4.4806 13.4634
angles (deg): 88.53 89.44 89.30
Element x y z (fractional)
Zn (0.0000, 0.0000, 0.0000)
Zn (0.9996, 0.0221, 0.6635)
Zn (0.4935, 0.8413, 0.0965)
Zn (0.9953, 0.0335, 0.3309)
Si (0.3007, 0.5221, 0.6016)
Si (0.3017, 0.5303, 0.2665)
Si (0.3053, 0.5148, 0.9378)
Si (0.4940, 0.8456, 0.4310)
Si (0.4996, 0.8341, 0.7627)
Si (0.7988, 0.3242, 0.1611)
Si (0.8120, 0.3279, 0.4965)
Si (0.8206, 0.3203, 0.8295)
Ni (0.0046, 0.8094, 0.4997)
Ni (0.0115, 0.8010, 0.8322)
Ni (0.2838, 0.3355, 0.1013)
Ni (0.3040, 0.3398, 0.4335)
Ni (0.3091, 0.3312, 0.7644)
Ni (0.4995, 0.0444, 0.2647)
Ni (0.5045, 0.0306, 0.5908)
Ni (0.5064, 0.0262, 0.9177)
Ni (0.7763, 0.5385, 0.3353)
Ni (0.7841, 0.5279, 0.6659)
Ni (0.7883, 0.5061, 0.9949)
Ni (0.9921, 0.8061, 0.1726)



(15)
Density functional theory data (SCAN) for a PBEsol-optimized structure of ZnSi4Ni.

Values from the calculation:
* formation energy from raw total energies: 0.66 eV per atom

a b c (Å): 4.9233 4.9233 4.9233
angles (deg): 60.00 60.00 60.00
Element x y z (fractional)
Zn (0.0000, 0.0000, 0.0000)
Si (0.1253, 0.6249, 0.6249)
Si (0.6249, 0.1253, 0.6249)
Si (0.6249, 0.6249, 0.1253)
Si (0.6249, 0.6249, 0.6249)
Ni (0.2500, 0.2500, 0.2500)



(16)
Density functional theory data (SCAN) for a PBEsol-optimized structure of ZrSiNi2.

Values from the calculation:
* formation energy from raw total energies: -0.49 eV per atom

a b c (Å): 2.8102 2.8250 6.5672
angles (deg): 90.00 90.00 90.00
Element x y z (fractional)
Zr (0.0000, 0.0000, 0.0000)
Si (0.0000, 0.0000, 0.5000)
Ni (0.5000, 0.5000, 0.3052)
Ni (0.5000, 0.5000, 0.6948)



(17)
Density functional theory data (SCAN) for a PBEsol-optimized structure of Zr2SiNi3.

Values from the calculation:
* formation energy from raw total energies: -0.68 eV per atom

a b c (Å): 4.9699 4.9699 7.7128
angles (deg): 90.00 90.00 120.00
Element x y z (fractional)
Zr (0.3333, 0.6667, 0.0532)
Zr (0.3333, 0.6667, 0.4468)
Zr (0.6667, 0.3333, 0.5532)
Zr (0.6667, 0.3333, 0.9468)
Si (0.0000, 0.0000, 0.0000)
Si (0.0000, 0.0000, 0.5000)
Ni (0.1676, 0.3353, 0.7500)
Ni (0.1676, 0.8324, 0.7500)
Ni (0.3353, 0.1676, 0.2500)
Ni (0.6647, 0.8324, 0.7500)
Ni (0.8324, 0.1676, 0.2500)
Ni (0.8324, 0.6647, 0.2500)



(18)
Density functional theory data (SCAN) for a PBEsol-optimized structure of ZrSi2Ni2.

Values from the calculation:
* formation energy from raw total energies: -0.86 eV per atom

a b c (Å): 5.4882 5.4882 5.4882
angles (deg): 140.24 140.24 57.48
Element x y z (fractional)
Zr (0.0000, 0.0000, 0.0000)
Si (0.3798, 0.3798, 0.0000)
Si (0.6202, 0.6202, 0.0000)
Ni (0.2500, 0.7500, 0.5000)
Ni (0.7500, 0.2500, 0.5000)



(19)
Density functional theory data (SCAN) for a PBEsol-optimized structure of ZrSiNi6.

Values from the calculation:
* formation energy from raw total energies: -0.41 eV per atom

a b c (Å): 6.2044 6.2044 10.1676
angles (deg): 90.00 90.00 110.30
Element x y z (fractional)
Zr (0.0000, 0.0000, 0.2463)
Zr (0.0000, 0.0000, 0.7537)
Zr (0.2419, 0.7581, 0.5000)
Zr (0.7581, 0.2419, 0.5000)
Si (0.2370, 0.7630, 0.0000)
Si (0.5000, 0.5000, 0.2438)
Si (0.5000, 0.5000, 0.7562)
Si (0.7630, 0.2370, 0.0000)
Ni (0.0000, 0.0000, 0.0000)
Ni (0.0000, 0.0000, 0.5000)
Ni (0.1335, 0.3875, 0.1184)
Ni (0.1335, 0.3875, 0.8816)
Ni (0.1409, 0.3851, 0.3670)
Ni (0.1409, 0.3851, 0.6330)
Ni (0.2523, 0.7477, 0.2384)
Ni (0.2523, 0.7477, 0.7616)
Ni (0.3851, 0.1409, 0.3670)
Ni (0.3851, 0.1409, 0.6330)
Ni (0.3875, 0.1335, 0.1184)
Ni (0.3875, 0.1335, 0.8816)
Ni (0.5000, 0.5000, 0.0000)
Ni (0.5000, 0.5000, 0.5000)
Ni (0.6125, 0.8665, 0.1184)
Ni (0.6125, 0.8665, 0.8816)
Ni (0.6149, 0.8591, 0.3670)
Ni (0.6149, 0.8591, 0.6330)
Ni (0.7477, 0.2523, 0.2384)
Ni (0.7477, 0.2523, 0.7616)
Ni (0.8591, 0.6149, 0.3670)
Ni (0.8591, 0.6149, 0.6330)
Ni (0.8665, 0.6125, 0.1184)
Ni (0.8665, 0.6125, 0.8816)



(20)
Density functional theory data (SCAN) for a PBEsol-optimized structure of ZrSiNi.

Values from the calculation:
* formation energy from raw total energies: -0.87 eV per atom

a b c (Å): 5.1074 5.1074 5.0843
angles (deg): 90.00 90.00 138.69
Element x y z (fractional)
Zr (0.2070, 0.7930, 0.7500)
Zr (0.7930, 0.2070, 0.2500)
Si (0.0822, 0.9178, 0.2500)
Si (0.9178, 0.0822, 0.7500)
Ni (0.5000, 0.5000, 0.0000)
Ni (0.5000, 0.5000, 0.5000)